[1]
A relaxed structure of K2PaFe2O6. Source: the Alexandria database, functional PBE+U.

abc: 6.172 6.172 6.807
angles: 63.04 63.04 60.00
Each line ends with the local moment (μB).
Atoms (fractional coordinates):
O (0.754, 0.238, 0.769)  0.12
O (0.238, 0.238, 0.769)  0.12
Pa (0.000, 0.000, 0.000)  0.20
Fe (0.423, 0.423, 0.730)  3.98
O (0.246, 0.762, 0.231)  0.12
O (0.762, 0.762, 0.231)  0.12
O (0.238, 0.754, 0.769)  0.12
K (0.788, 0.788, 0.635)  0.00
K (0.212, 0.212, 0.365)  0.00
O (0.762, 0.246, 0.231)  0.12
Fe (0.577, 0.577, 0.270)  3.98

Properties
- Total energy: -6.942 eV/atom
- Space group: R-3m (166)

[2]
A relaxed structure of KPaFeO6. Source: the Alexandria database, functional PBE+U.

abc: 4.766 5.751 5.751
angles: 120.00 90.00 90.00
Each line ends with the local moment (μB).
Atoms (fractional coordinates):
O (0.263, 0.234, 0.321)  0.36
K (0.500, 0.667, 0.333)  0.00
O (0.737, 0.087, 0.321)  0.36
O (0.737, 0.234, 0.913)  0.36
Pa (0.000, 0.333, 0.667)  0.00
Fe (0.500, 0.000, 0.000)  4.15
O (0.263, 0.087, 0.766)  0.36
O (0.263, 0.679, 0.913)  0.36
O (0.737, 0.679, 0.766)  0.36

Properties
- N(E_F): 0.53 states/eV per atom
- Total energy: -6.821 eV/atom
- Space group: P312 (149)

[3]
A relaxed structure of KPa2FeO8. Source: the Alexandria database, functional PBE+U.

abc: 5.161 5.161 7.866
angles: 90.00 90.00 120.00
Each line ends with the local moment (μB).
Atoms (fractional coordinates):
O (0.656, 0.828, 0.129)  -0.03
Pa (0.667, 0.333, 0.134)  0.04
O (0.172, 0.828, 0.129)  -0.03
O (0.172, 0.344, 0.129)  -0.03
O (0.667, 0.333, 0.373)  0.00
O (0.344, 0.172, 0.871)  -0.03
O (0.828, 0.656, 0.871)  -0.03
K (0.000, 0.000, 0.500)  0.00
Fe (0.000, 0.000, 0.000)  3.06
O (0.333, 0.667, 0.627)  0.00
Pa (0.333, 0.667, 0.866)  0.04
O (0.828, 0.172, 0.871)  -0.03

Properties
- Total energy: -7.783 eV/atom
- Space group: P-3m1 (164)

[4]
A relaxed structure of K3PaFe2O6. Source: the Alexandria database, functional PBE+U.

abc: 6.241 6.241 7.082
angles: 90.00 90.00 120.00
Each line ends with the local moment (μB).
Atoms (fractional coordinates):
K (0.333, 0.667, 0.742)  -0.01
O (0.841, 0.159, 0.693)  0.06
Fe (0.333, 0.667, 0.293)  3.70
K (0.000, 0.000, 0.000)  0.00
O (0.159, 0.318, 0.307)  0.06
O (0.682, 0.841, 0.307)  0.06
O (0.841, 0.682, 0.693)  0.06
Fe (0.667, 0.333, 0.707)  3.70
K (0.667, 0.333, 0.258)  -0.01
O (0.318, 0.159, 0.693)  0.06
O (0.159, 0.841, 0.307)  0.06
Pa (0.000, 0.000, 0.500)  0.16

Properties
- N(E_F): 0.00 states/eV per atom
- Total energy: -6.570 eV/atom
- Space group: P-3m1 (164)

[5]
A relaxed structure of KFe2PbO. Source: the Alexandria database, functional PBE+U.

abc: 5.719 4.336 5.719
angles: 90.00 90.00 90.00
Each line ends with the local moment (μB).
Atoms (fractional coordinates):
Fe (0.000, 0.000, 0.500)  -3.81
Pb (0.500, 0.500, 0.500)  0.15
Fe (0.500, 0.000, 0.000)  -3.78
K (0.000, 0.000, 0.000)  0.04
O (0.000, 0.500, 0.000)  0.45

Properties
- N(E_F): 0.43 states/eV per atom
- Total energy: -3.022 eV/atom
- Space group: P4/mmm (123)

[6]
A relaxed structure of K2FePbO4. Source: the Alexandria database, functional PBE+U.

abc: 6.945 6.945 6.980
angles: 120.21 120.21 89.23
Each line ends with the local moment (μB).
Atoms (fractional coordinates):
O (0.227, 0.275, 0.042)  0.05
O (0.234, 0.699, 0.467)  0.02
Fe (0.500, 0.500, 0.500)  3.80
O (0.225, 0.273, 0.458)  0.05
O (0.199, 0.734, 0.967)  0.02
K (0.000, 0.000, 0.500)  0.00
Fe (0.000, 0.000, 0.000)  3.80
O (0.775, 0.727, 0.542)  0.05
Pb (0.000, 0.500, 0.000)  0.00
K (0.500, 0.000, 0.000)  0.00
O (0.773, 0.725, 0.958)  0.05
O (0.766, 0.301, 0.533)  0.02
K (0.500, 0.000, 0.500)  0.00
Pb (0.000, 0.500, 0.500)  0.00
K (0.500, 0.500, 0.000)  0.00
O (0.801, 0.266, 0.033)  0.02

Properties
- N(E_F): 0.03 states/eV per atom
- Total energy: -5.144 eV/atom
- Space group: C2/c (15)

[7]
A relaxed structure of KPmFeO4. Source: the Alexandria database, functional PBE+U.

abc: 5.998 6.076 7.309
angles: 90.00 107.87 90.00
Each line ends with the local moment (μB).
Atoms (fractional coordinates):
Pm (0.812, 0.750, 0.459)  0.03
Fe (0.739, 0.250, 0.675)  3.67
O (0.465, 0.750, 0.192)  0.00
Pm (0.188, 0.250, 0.541)  0.03
O (0.044, 0.523, 0.312)  0.11
O (0.956, 0.023, 0.688)  0.11
Fe (0.261, 0.750, 0.325)  3.67
O (0.956, 0.477, 0.688)  0.11
O (0.044, 0.977, 0.312)  0.11
K (0.298, 0.250, 0.069)  0.00
O (0.535, 0.250, 0.808)  0.00
K (0.702, 0.750, 0.931)  0.00
O (0.465, 0.750, 0.557)  -0.02
O (0.535, 0.250, 0.443)  -0.02

Properties
- N(E_F): 0.09 states/eV per atom
- Total energy: -6.450 eV/atom
- Space group: P2_1/m (11)

[8]
A relaxed structure of K3Pm2FeO6. Source: the Alexandria database, functional PBE+U.

abc: 5.986 5.986 6.555
angles: 98.69 98.69 120.03
Each line ends with the local moment (μB).
Atoms (fractional coordinates):
Pm (0.333, 0.667, 0.000)  0.01
Fe (0.000, 0.000, 0.000)  4.28
K (0.839, 0.161, 0.500)  0.00
O (0.939, 0.633, 0.815)  0.07
O (0.245, 0.245, 0.817)  0.07
Pm (0.667, 0.333, 0.000)  0.01
K (0.161, 0.839, 0.500)  0.00
O (0.633, 0.939, 0.815)  0.07
O (0.061, 0.367, 0.185)  0.07
O (0.367, 0.061, 0.185)  0.07
K (0.500, 0.500, 0.500)  0.00
O (0.755, 0.755, 0.183)  0.07

Properties
- N(E_F): 0.00 states/eV per atom
- Total energy: -6.212 eV/atom
- Space group: C2/m (12)